Crystalline Li3Mg8Cd at its relaxed geometry, computed with PBE-GGA.

The structure in POSCAR format:
```
Li3Mg8Cd
1.0
7.4185 0.0839 0.4130
-0.5944 7.1530 -1.8907
1.6314 -0.5430 5.0950
Li Mg Cd
3 8 1
direct
0.3721 0.3747 0.6750
0.7991 0.4558 0.6499
0.6204 0.6216 0.3248
0.4612 0.7792 0.9923
0.2932 0.9523 0.6629
0.9578 0.2909 0.9982
0.1273 0.1282 0.3343
0.8723 0.8660 0.6643
0.0385 0.7001 0.0010
0.5397 0.2198 0.0102
0.7050 0.0432 0.3430
0.2117 0.5378 0.3408
```

* DOS(E_F): 0.394 states/eV per atom
* space-group type: No. 1
* DFT formation energy: -0.060 eV per atom
* total moment: 0.00 Bohr magnetons per cell
* VASP energy: -1.678 eV/atom

***

Crystalline Nd2TmBr at its relaxed geometry, computed with PBE-GGA.

The structure in POSCAR format:
```
Nd2TmBr
1.0
3.5835 0.0000 0.0000
0.0000 3.5835 0.0000
0.0000 0.0000 9.6480
Tm Nd Br
1 2 1
direct
0.5000 0.5000 0.5000
0.0000 0.0000 0.7643
0.0000 0.0000 0.2357
0.5000 0.5000 0.0000
```

* energy above the most stable polymorph in this dataset: 71 meV per atom
* formation energy (no corrections): -0.468 eV/atom
* DOS(E_F): 0.948 states/eV per atom
* space-group type: No. 123
* total moment: 0.00 Bohr magnetons per cell
* VASP energy: -4.388 eV/atom

***

Crystalline AcMgGePd2 at its relaxed geometry, computed with PBE-GGA.

The structure in POSCAR format:
```
AcMgGePd2
1.0
4.4500 0.0000 0.0000
0.0000 3.8872 0.0000
-2.2250 -1.9436 6.2156
Ac Mg Ge Pd
1 1 1 2
direct
0.4513 0.4513 0.9026
0.1954 0.6954 0.3908
0.8289 0.8289 0.6579
0.6982 0.1982 0.3963
0.0383 0.0383 0.0767
```

* DOS(E_F): 0.411 states/eV per atom
* space-group type: No. 44
* DFT formation energy: -0.726 eV per atom
* total moment: 0.00 Bohr magnetons per cell
* VASP energy: -4.867 eV/atom